KAgMo2O8 | PBE with a Hubbard U | relaxed

## Properties
As for the total DFT energy (no corrections): -5.908 eV/atom. The density is 3.67 Mg/m³. As for the space group: I-4m2.

Structure (extended XYZ):
```
12
Lattice="-2.737 -3.175 -4.982 0.941 -3.598 5.344 -4.076 4.802 1.649" Properties=species:S:1:pos:R:3 pbc="T T T"
O -4.708 -1.742 -0.255
O -2.337 -0.093 -1.031
O -2.458 -4.085 -0.398
O -4.800 0.496 -2.237
O -3.575 -2.178 -2.783
O -3.947 0.099 2.516
O -4.111 2.195 0.448
O -1.226 -2.150 1.455
K 0.000 0.000 0.000
Mo -3.855 -0.879 -1.576
Mo -0.898 -3.386 0.181
Ag -2.016 -1.091 3.587
```